--- P ---
Here is CsRePS2 after structural relaxation from Alexandria. Energies are from GGA-PBE.

Calculated density, Mg/m³: 6.13
Crystal system: tetragonal
V, Å³ per cell: 112.29

Cell lengths 4.890, 4.890, 4.696 Å; angles 90.00, 90.00, 90.00 degrees
Space group P4/mmm (No. 123)
Unique sites:
Cs 0.000 0.000 0.000
Re 0.500 0.500 0.500
P 0.500 0.500 0.000
S 0.000 0.500 0.500

=====

--- Q ---
Here is CsRePS2 after structural relaxation from Alexandria. Energies are from GGA-PBE.

Calculated density, Mg/m³: 4.82
Crystal system: tetragonal
V, Å³ per cell: 142.63

Cell lengths 5.113, 5.113, 5.455 Å; angles 90.00, 90.00, 90.00 degrees
Space group P4/mmm (No. 123)
Unique sites:
Cs 0.000 0.000 0.000
Re 0.500 0.500 0.500
P 0.000 0.000 0.500
S 0.000 0.500 0.000

=====

Calculated relative energies: P 0.000; Q 3.015, given in eV/atom

=====

--- P ---
Here is CsReP2S after structural relaxation from Alexandria. Energies are from GGA-PBE.

Calculated density, Mg/m³: 6.01
Crystal system: tetragonal
V, Å³ per cell: 114.22

Cell lengths 4.685, 4.685, 5.204 Å; angles 90.00, 90.00, 90.00 degrees
Space group P4/mmm (No. 123)
Unique sites:
Cs 0.000 0.000 0.000
Re 0.500 0.500 0.500
P 0.000 0.500 0.500
S 0.500 0.500 0.000

=====

--- Q ---
Here is CsReP2S after structural relaxation from Alexandria. Energies are from GGA-PBE.

Calculated density, Mg/m³: 4.19
Crystal system: tetragonal
V, Å³ per cell: 163.55

Cell lengths 5.600, 5.600, 5.215 Å; angles 90.00, 90.00, 90.00 degrees
Space group P4/mmm (No. 123)
Unique sites:
Cs 0.000 0.000 0.000
Re 0.500 0.500 0.500
P 0.000 0.500 0.000
S 0.000 0.000 0.500

=====

Calculated relative energies: P 0.000; Q 2.668, given in eV/atom